{"formula": "Li2TbPu3Se6", "functional": "PBE-GGA", "state": "relaxed", "cell": [[8.9217, -2.0633, 0.0000], [8.9217, 2.0633, 0.0000], [-1.7189, 0.0000, 7.9701]], "species": ["Li", "Li", "Tb", "Pu", "Pu", "Pu", "Se", "Se", "Se", "Se", "Se", "Se"], "frac_coords": [[0.1752, 0.1752, 0.3493], [0.8248, 0.8248, 0.6507], [0.5000, 0.5000, 0.0000], [0.1695, 0.1695, 0.8264], [0.5000, 0.5000, 0.5000], [0.8305, 0.8305, 0.1736], [0.0010, 0.0010, 0.2477], [0.3328, 0.3328, 0.4248], [0.3354, 0.3354, 0.9168], [0.6646, 0.6646, 0.0832], [0.6672, 0.6672, 0.5752], [0.9990, 0.9990, 0.7523]], "e_form_raw_mev_per_atom": -1528, "sg": "C2/m", "dos_ef_per_ev_atom": 2.298, "vol_a3_per_atom": 24.45}

---

{"formula": "LiTbPuSe3", "functional": "PBE-GGA", "state": "relaxed", "cell": [[8.4349, 0.0000, 0.0000], [0.0000, 4.0339, 0.0000], [-1.9108, 0.0000, 8.6072]], "species": ["Li", "Li", "Tb", "Tb", "Pu", "Pu", "Se", "Se", "Se", "Se", "Se", "Se"], "frac_coords": [[0.0859, 0.2500, 0.0808], [0.9141, 0.7500, 0.9192], [0.3343, 0.7500, 0.3331], [0.6657, 0.2500, 0.6669], [0.1776, 0.2500, 0.7201], [0.8224, 0.7500, 0.2799], [0.0981, 0.2500, 0.3665], [0.2218, 0.7500, 0.9969], [0.4248, 0.7500, 0.6706], [0.5752, 0.2500, 0.3294], [0.7782, 0.2500, 0.0031], [0.9019, 0.7500, 0.6335]], "e_form_raw_mev_per_atom": -1547, "sg": "P2_1/m", "dos_ef_per_ev_atom": 2.074, "vol_a3_per_atom": 24.41}

---

{"formula": "Li2PuTeSe4", "functional": "PBE-GGA", "state": "relaxed", "cell": [[7.3528, 0.0000, 0.0000], [0.0000, 3.9683, 0.0000], [-2.3041, 0.0000, 7.0629]], "species": ["Li", "Li", "Pu", "Te", "Se", "Se", "Se", "Se"], "frac_coords": [[0.0000, 0.0000, 0.0000], [0.5000, 0.5000, 0.5000], [0.0000, 0.0000, 0.5000], [0.5000, 0.5000, 0.0000], [0.0943, 0.5000, 0.2756], [0.3997, 0.0000, 0.7187], [0.6003, 0.0000, 0.2813], [0.9057, 0.5000, 0.7244]], "e_form_raw_mev_per_atom": -855, "sg": "P2/m", "dos_ef_per_ev_atom": 1.379, "vol_a3_per_atom": 25.76}

---

{"formula": "LiPuTeSe", "functional": "PBE-GGA", "state": "relaxed", "cell": [[4.5818, 0.0000, 0.0000], [0.0000, 4.5818, 0.0000], [0.0000, 0.0000, 9.7797]], "species": ["Li", "Li", "Pu", "Pu", "Te", "Te", "Se", "Se"], "frac_coords": [[0.2500, 0.7500, 0.0000], [0.7500, 0.2500, 0.0000], [0.2500, 0.2500, 0.3265], [0.7500, 0.7500, 0.6735], [0.2500, 0.2500, 0.8324], [0.7500, 0.7500, 0.1676], [0.2500, 0.7500, 0.5000], [0.7500, 0.2500, 0.5000]], "e_form_raw_mev_per_atom": -1059, "sg": "P4/nmm", "dos_ef_per_ev_atom": 2.750, "vol_a3_per_atom": 25.66}

---

{"formula": "LiPuTh2Se4", "functional": "PBE-GGA", "state": "relaxed", "cell": [[7.1441, 0.0000, 0.0000], [0.0000, 4.1053, 0.0000], [-2.3572, 0.0000, 6.8271]], "species": ["Li", "Pu", "Th", "Th", "Se", "Se", "Se", "Se"], "frac_coords": [[0.0000, 0.0000, 0.0000], [0.5000, 0.5000, 0.0000], [0.0000, 0.5000, 0.5000], [0.5000, 0.0000, 0.5000], [0.2363, 0.5000, 0.2339], [0.2458, 0.0000, 0.7651], [0.7542, 0.0000, 0.2349], [0.7637, 0.5000, 0.7661]], "e_form_raw_mev_per_atom": -1512, "sg": "P2/m", "dos_ef_per_ev_atom": 1.339, "vol_a3_per_atom": 25.03}

---

{"formula": "LiPu2Th3Se6", "functional": "PBE-GGA", "state": "relaxed", "cell": [[9.0473, -2.0652, 0.0000], [9.0473, 2.0652, 0.0000], [-1.9829, 0.0000, 8.0877]], "species": ["Li", "Pu", "Pu", "Th", "Th", "Th", "Se", "Se", "Se", "Se", "Se", "Se"], "frac_coords": [[0.0000, 0.0000, 0.0000], [0.3338, 0.3338, 0.6674], [0.6662, 0.6662, 0.3326], [0.0000, 0.0000, 0.5000], [0.3308, 0.3308, 0.1671], [0.6692, 0.6692, 0.8329], [0.1576, 0.1576, 0.0817], [0.1689, 0.1689, 0.5758], [0.4990, 0.4990, 0.2358], [0.5010, 0.5010, 0.7642], [0.8311, 0.8311, 0.4242], [0.8424, 0.8424, 0.9183]], "e_form_raw_mev_per_atom": -1529, "sg": "C2/m", "dos_ef_per_ev_atom": 1.535, "vol_a3_per_atom": 25.19}

---

{"formula": "LiPu3Th4Se8", "functional": "PBE-GGA", "state": "relaxed", "cell": [[4.1337, 2.3866, 6.8437], [-4.1337, 2.3866, 6.8437], [0.0000, -4.7731, 6.8437]], "species": ["Li", "Pu", "Pu", "Pu", "Th", "Th", "Th", "Th", "Se", "Se", "Se", "Se", "Se", "Se", "Se", "Se"], "frac_coords": [[0.0000, 0.0000, 0.0000], [0.0000, 0.5000, 0.5000], [0.5000, 0.0000, 0.5000], [0.5000, 0.5000, 0.0000], [0.0000, 0.0000, 0.5000], [0.0000, 0.5000, 0.0000], [0.5000, 0.0000, 0.0000], [0.5000, 0.5000, 0.5000], [0.2410, 0.2410, 0.7541], [0.2410, 0.7541, 0.2410], [0.2459, 0.7590, 0.7590], [0.2536, 0.2536, 0.2536], [0.7464, 0.7464, 0.7464], [0.7541, 0.2410, 0.2410], [0.7590, 0.2459, 0.7590], [0.7590, 0.7590, 0.2459]], "e_form_raw_mev_per_atom": -1530, "sg": "R-3m", "dos_ef_per_ev_atom": 1.581, "vol_a3_per_atom": 25.32}

---

{"formula": "Li3Pu2TiSe6", "functional": "PBE-GGA", "state": "relaxed", "cell": [[3.4430, -5.9663, 0.0000], [3.4430, 5.9663, 0.0000], [-2.3025, 0.0000, 6.4396]], "species": ["Li", "Li", "Li", "Pu", "Pu", "Ti", "Se", "Se", "Se", "Se", "Se", "Se"], "frac_coords": [[0.0000, 0.0000, 0.0000], [0.3347, 0.6653, 0.0000], [0.6653, 0.3347, 0.0000], [0.1671, 0.8329, 0.5000], [0.8329, 0.1671, 0.5000], [0.5000, 0.5000, 0.5000], [0.1052, 0.4162, 0.2492], [0.2717, 0.2717, 0.7463], [0.4162, 0.1052, 0.2492], [0.5838, 0.8948, 0.7508], [0.7283, 0.7283, 0.2537], [0.8948, 0.5838, 0.7508]], "e_form_raw_mev_per_atom": -1326, "sg": "C2/m", "dos_ef_per_ev_atom": 1.708, "vol_a3_per_atom": 22.05}

---

{"formula": "Li3Pu3TiSe8", "functional": "PBE-GGA", "state": "relaxed", "cell": [[6.8575, -4.0502, 0.0000], [6.8575, 4.0502, 0.0000], [-4.4334, 0.0000, 6.5763]], "species": ["Li", "Li", "Li", "Pu", "Pu", "Pu", "Ti", "Se", "Se", "Se", "Se", "Se", "Se", "Se", "Se"], "frac_coords": [[0.0000, 0.0000, 0.0000], [0.0000, 0.5000, 0.5000], [0.5000, 0.0000, 0.5000], [0.0000, 0.5000, 0.0000], [0.5000, 0.0000, 0.0000], [0.5000, 0.5000, 0.5000], [0.0000, 0.0000, 0.5000], [0.2252, 0.7677, 0.7322], [0.2323, 0.7748, 0.2678], [0.2325, 0.2325, 0.7274], [0.2458, 0.2458, 0.2527], [0.7542, 0.7542, 0.7473], [0.7675, 0.7675, 0.2726], [0.7677, 0.2252, 0.7322], [0.7748, 0.2323, 0.2678]], "e_form_raw_mev_per_atom": -1305, "sg": "C2/m", "dos_ef_per_ev_atom": 2.398, "vol_a3_per_atom": 24.35}

---

{"formula": "LiPu2Tl3Se6", "functional": "PBE-GGA", "state": "relaxed", "cell": [[3.6024, -6.2459, 0.0000], [3.6024, 6.2459, 0.0000], [-2.3698, 0.0000, 7.6508]], "species": ["Li", "Pu", "Pu", "Tl", "Tl", "Tl", "Se", "Se", "Se", "Se", "Se", "Se"], "frac_coords": [[0.0000, 0.0000, 0.0000], [0.3329, 0.6671, 0.0000], [0.6671, 0.3329, 0.0000], [0.1625, 0.8375, 0.5000], [0.5000, 0.5000, 0.5000], [0.8375, 0.1625, 0.5000], [0.0677, 0.4138, 0.2045], [0.2770, 0.2770, 0.8033], [0.4138, 0.0677, 0.2045], [0.5862, 0.9323, 0.7955], [0.7230, 0.7230, 0.1967], [0.9323, 0.5862, 0.7955]], "e_form_raw_mev_per_atom": -960, "sg": "C2/m", "dos_ef_per_ev_atom": 1.367, "vol_a3_per_atom": 28.69}

---

{"formula": "LiPu3Tl4Se8", "functional": "PBE-GGA", "state": "relaxed", "cell": [[4.1887, 2.4183, 7.6464], [-4.1887, 2.4183, 7.6464], [0.0000, -4.8366, 7.6464]], "species": ["Li", "Pu", "Pu", "Pu", "Tl", "Tl", "Tl", "Tl", "Se", "Se", "Se", "Se", "Se", "Se", "Se", "Se"], "frac_coords": [[0.0000, 0.0000, 0.0000], [0.0000, 0.5000, 0.5000], [0.5000, 0.0000, 0.5000], [0.5000, 0.5000, 0.0000], [0.0000, 0.0000, 0.5000], [0.0000, 0.5000, 0.0000], [0.5000, 0.0000, 0.0000], [0.5000, 0.5000, 0.5000], [0.2365, 0.2365, 0.7264], [0.2365, 0.7264, 0.2365], [0.2651, 0.2651, 0.2651], [0.2736, 0.7635, 0.7635], [0.7264, 0.2365, 0.2365], [0.7349, 0.7349, 0.7349], [0.7635, 0.2736, 0.7635], [0.7635, 0.7635, 0.2736]], "e_form_raw_mev_per_atom": -996, "sg": "R-3m", "dos_ef_per_ev_atom": 1.739, "vol_a3_per_atom": 29.05}

---

{"formula": "LiPu2TlSe4", "functional": "PBE-GGA", "state": "relaxed", "cell": [[2.1173, -7.0048, 0.0000], [2.1173, 7.0048, 0.0000], [0.0000, 0.0000, 14.7012]], "species": ["Li", "Li", "Pu", "Pu", "Pu", "Pu", "Tl", "Tl", "Se", "Se", "Se", "Se", "Se", "Se", "Se", "Se"], "frac_coords": [[0.1677, 0.8323, 0.7500], [0.8323, 0.1677, 0.2500], [0.3672, 0.6328, 0.0605], [0.3672, 0.6328, 0.4395], [0.6328, 0.3672, 0.5605], [0.6328, 0.3672, 0.9395], [0.1048, 0.8952, 0.2500], [0.8952, 0.1048, 0.7500], [0.0000, 0.0000, 0.0000], [0.0000, 0.0000, 0.5000], [0.2636, 0.7364, 0.6075], [0.2636, 0.7364, 0.8925], [0.4281, 0.5719, 0.2500], [0.5719, 0.4281, 0.7500], [0.7364, 0.2636, 0.1075], [0.7364, 0.2636, 0.3925]], "e_form_raw_mev_per_atom": -1239, "sg": "Cmcm", "dos_ef_per_ev_atom": 2.624, "vol_a3_per_atom": 27.25}